This record from the Alexandria database describes an optimized crystal structure of TcSn2H2. The functional is PBE.

Unit cell a=7.391 b=7.391 c=3.149 alpha=90.00 beta=90.00 gamma=90.00
Each line ends with the local moment (μB).
Fractional positions:
Sn  0.246  0.254  0.000  -0.01
Sn  0.754  0.746  0.000  -0.01
H  0.537  0.963  0.500  0.00
Sn  0.254  0.754  0.000  -0.02
H  0.037  0.537  0.500  0.00
H  0.463  0.037  0.500  0.00
Sn  0.746  0.246  0.000  -0.02
Tc  0.500  0.500  0.000  1.00
Tc  0.000  0.000  0.000  1.01
H  0.963  0.463  0.500  0.00

## Properties
The volume is 172 Å³/cell. Its energy above the lowest structure with this stoichiometry is 0 meV/atom. Its space group is P4/mbm, No. 127. The energy comes out at -46.0 eV for the cell shown.

---

This record from the Alexandria database describes an optimized crystal structure of Be2InSb. The functional is PBE.

Unit cell a=3.186 b=3.186 c=7.822 alpha=90.00 beta=90.00 gamma=102.24
Fractional positions:
Sb  0.500  0.500  0.846
Be  0.000  0.000  0.065
In  0.000  0.000  0.415
Be  0.500  0.500  0.174

## Properties
The calculation puts the uncorrected formation energy at 0.45 eV per atom. The volume is 78 Å³/cell. Its energy above the lowest structure with this stoichiometry is 181 meV/atom. Its space group is Cmm2, No. 35. The energy comes out at -12.5 eV for the cell shown.

---

This record from the Alexandria database describes an optimized crystal structure of TbCeRu. The functional is PBE.

Unit cell a=4.090 b=4.495 c=4.495 alpha=120.00 beta=90.00 gamma=90.00
Each line ends with the local moment (μB).
Fractional positions:
Ru  0.302  0.667  0.333  -0.03
Tb  0.626  0.333  0.667  0.01
Ce  0.072  0.000  0.000  0.17

## Properties
The volume is 72 Å³/cell. Its energy above the lowest structure with this stoichiometry is 163 meV/atom. Its space group is P3m1, No. 156. The energy comes out at -20.1 eV for the cell shown. Its formation enthalpy at 0 K is -2.15 kcal/mol of atoms.

---

This record from the Alexandria database describes an optimized crystal structure of NdTiP2Rh5. The functional is PBE.

Unit cell a=4.092 b=4.092 c=9.804 alpha=90.00 beta=90.00 gamma=90.00
Fractional positions:
Rh  0.500  0.000  0.163
P  0.000  0.000  0.272
Nd  0.500  0.500  0.500
Rh  0.000  0.500  0.163
Rh  0.500  0.000  0.837
Rh  0.000  0.000  0.500
Rh  0.000  0.500  0.837
P  0.000  0.000  0.728
Ti  0.000  0.000  0.000

## Properties
The volume is 164 Å³/cell. Its space group is P4/mmm, No. 123. The energy comes out at -65.1 eV for the cell shown. Its formation enthalpy at 0 K is -12.42 kcal/mol of atoms.

---

This record from the Alexandria database describes an optimized crystal structure of HfHRh3. The functional is PBE.

Unit cell a=10.441 b=7.319 c=7.319 alpha=78.58 beta=123.75 gamma=56.25
Fractional positions:
Rh  0.409  0.658  0.721
Rh  0.909  0.779  0.842
H  0.250  0.801  0.301
Rh  0.091  0.221  0.158
Rh  0.417  0.391  0.483
H  0.750  0.199  0.699
Rh  0.591  0.342  0.279
Rh  0.920  0.279  0.363
Hf  0.427  0.846  0.995
H  0.750  0.448  0.948
Rh  0.080  0.721  0.637
Rh  0.583  0.609  0.517
Hf  0.073  0.495  0.346
Hf  0.927  0.505  0.654
Rh  0.580  0.863  0.779
H  0.250  0.552  0.052
Rh  0.420  0.137  0.221
Rh  0.083  0.983  0.891
Rh  0.917  0.017  0.109
Hf  0.573  0.154  0.005

## Properties
The volume is 263 Å³/cell. Its energy above the lowest structure with this stoichiometry is 319 meV/atom. Its space group is C2/c, No. 15. The energy comes out at -148.8 eV for the cell shown.

---

This record from the Alexandria database describes an optimized crystal structure of Tb5PmHg6. The functional is PBE.

Unit cell a=5.284 b=7.536 c=8.368 alpha=90.00 beta=108.21 gamma=90.00
Each line ends with the local moment (μB).
Fractional positions:
Hg  0.831  0.254  0.662  0.01
Tb  0.000  0.500  0.000  0.13
Pm  0.000  0.000  0.000  0.17
Tb  0.335  0.500  0.669  0.10
Tb  0.333  0.000  0.666  0.16
Hg  0.500  0.745  0.000  0.01
Tb  0.665  0.500  0.331  0.10
Hg  0.169  0.254  0.338  0.01
Tb  0.667  0.000  0.334  0.16
Hg  0.831  0.746  0.662  0.01
Hg  0.500  0.255  0.000  0.01
Hg  0.169  0.746  0.338  0.01

## Properties
The volume is 317 Å³/cell. Its space group is P2/m, No. 10. The energy comes out at -35.4 eV for the cell shown. Its formation enthalpy at 0 K is -11.01 kcal/mol of atoms.

---

This record from the Alexandria database describes an optimized crystal structure of BeV3Ni. The functional is PBE.

Unit cell a=4.047 b=4.047 c=4.047 alpha=90.00 beta=90.00 gamma=90.00
Fractional positions:
Ni  0.500  0.500  0.500
V  0.500  0.000  0.000
Be  0.000  0.000  0.000
V  0.000  0.500  0.000
V  0.000  0.000  0.500

## Properties
The volume is 66 Å³/cell. Its energy above the lowest structure with this stoichiometry is 0 meV/atom. Its space group is Pm-3m, No. 221. The energy comes out at -33.3 eV for the cell shown. Its formation enthalpy at 0 K is 16.21 kcal/mol of atoms.

---

This record from the Alexandria database describes an optimized crystal structure of Ba2ZnSn4Au3. The functional is PBE.

Unit cell a=4.818 b=4.818 c=11.561 alpha=90.00 beta=90.00 gamma=90.00
Fractional positions:
Ba  0.000  0.500  0.743
Sn  0.000  0.000  0.000
Sn  0.500  0.000  0.627
Sn  0.500  0.500  0.000
Au  0.000  0.000  0.500
Au  0.000  0.500  0.134
Sn  0.000  0.500  0.373
Au  0.500  0.000  0.866
Zn  0.500  0.500  0.500
Ba  0.500  0.000  0.257

## Properties
The volume is 268 Å³/cell. Its space group is P-4m2, No. 115. The energy comes out at -36.6 eV for the cell shown. Its formation enthalpy at 0 K is -12.95 kcal/mol of atoms.

---

This record from the Alexandria database describes an optimized crystal structure of CaLa14Er. The functional is PBE.

Unit cell a=7.458 b=7.458 c=10.520 alpha=90.00 beta=90.00 gamma=90.03
Fractional positions:
La  0.375  0.625  0.500
La  0.131  0.869  0.252
Er  0.375  0.625  0.000
La  0.375  0.125  0.000
La  0.875  0.625  0.500
La  0.875  0.125  0.500
La  0.131  0.381  0.747
La  0.131  0.381  0.253
La  0.619  0.381  0.253
La  0.131  0.869  0.748
La  0.875  0.625  0.000
La  0.619  0.869  0.747
La  0.619  0.869  0.253
La  0.619  0.381  0.747
Ca  0.875  0.125  0.000
La  0.375  0.125  0.500

## Properties
The volume is 585 Å³/cell. Its space group is P4/mmm, No. 123. The energy comes out at -75.3 eV for the cell shown. Its formation enthalpy at 0 K is 0.40 kcal/mol of atoms.

---

This record from the Alexandria database describes an optimized crystal structure of Hg2MoAs. The functional is PBE.

Unit cell a=2.892 b=5.039 c=5.435 alpha=90.00 beta=90.00 gamma=90.00
Fractional positions:
As  0.500  0.500  0.750
Mo  0.500  0.500  0.250
Hg  0.000  0.000  0.496
Hg  0.000  0.000  0.004

## Properties
The volume is 79 Å³/cell. Its space group is Pmmm, No. 47. The energy comes out at -13.5 eV for the cell shown. Its formation enthalpy at 0 K is 15.03 kcal/mol of atoms.

---

This record from the Alexandria database describes an optimized crystal structure of BeGeN2O. The functional is PBE.

Unit cell a=3.777 b=3.777 c=3.172 alpha=90.00 beta=90.00 gamma=90.00
Each line ends with the local moment (μB).
Fractional positions:
N  0.000  0.500  0.000  0.37
Be  0.000  0.000  0.000  0.00
O  0.000  0.000  0.500  0.43
Ge  0.500  0.500  0.500  -0.02
N  0.500  0.000  0.000  0.37

## Properties
The calculation puts the uncorrected formation energy at 0.77 eV per atom. The volume is 45 Å³/cell. Its space group is P4/mmm, No. 123. The energy comes out at -26.1 eV for the cell shown.

---

This record from the Alexandria database describes an optimized crystal structure of ZrAg2Pt2. The functional is PBE.

Unit cell a=6.918 b=6.918 c=3.958 alpha=90.00 beta=90.00 gamma=90.00
Fractional positions:
Zr  0.000  0.000  0.000
Zr  0.500  0.500  0.000
Ag  0.336  0.164  0.500
Pt  0.865  0.635  0.000
Pt  0.635  0.135  0.000
Ag  0.836  0.336  0.500
Ag  0.664  0.836  0.500
Pt  0.365  0.865  0.000
Ag  0.164  0.664  0.500
Pt  0.135  0.365  0.000

## Properties
The volume is 189 Å³/cell. Its energy above the lowest structure with this stoichiometry is 0 meV/atom. Its space group is P4/mbm, No. 127. The energy comes out at -55.0 eV for the cell shown. Its formation enthalpy at 0 K is -5.27 kcal/mol of atoms.